A relaxed Cr3ReF crystal, computed with PBE with a Hubbard U.

abc: 4.8890 4.8890 4.8890
angles: 90.00 90.00 90.00
Space group Pm-3m (No. 221)
Asymmetric unit:
1 Cr 0.0000 0.0000 0.5000 [3 per cell]
2 Re 0.0000 0.0000 0.0000 [1 per cell]
3 F 0.5000 0.5000 0.5000 [1 per cell]

Calculated values
Raw total energy   -6.277 eV/atom